Record 1
{
  "formula": "ScPRhO2",
  "functional": "PBE",
  "state": "optimized geometry",
  "lattice": [[3.862, 0.000, 0.000], [0.000, 3.862, 0.000], [0.000, 0.000, 4.914]],
  "species": ["Sc", "P", "Rh", "O", "O"],
  "frac_coords": [[0.500, 0.500, 0.500], [0.000, 0.000, 0.500], [0.000, 0.000, 0.000], [0.000, 0.500, 0.000], [0.500, 0.000, 0.000]],
  "crystal_system": "tetragonal",
  "dos_at_fermi_per_ev_cell": 3.12,
  "vol_a3_per_cell": 73,
  "formation_energy_uncorrected_ev_per_fu": -3.5,
  "polymorph_energy_mev_per_atom": 0
}



Record 2
{
  "formula": "ScP2RhO",
  "functional": "PBE",
  "state": "optimized geometry",
  "lattice": [[-1.072, 0.802, -4.636], [3.830, -2.613, -1.337], [-2.089, -3.039, -0.043]],
  "species": ["Sc", "P", "P", "Rh", "O"],
  "frac_coords": [[0.500, 0.500, 0.500], [0.000, 0.500, 0.000], [0.500, 0.000, 0.000], [0.000, 0.000, 0.000], [0.000, 0.000, 0.500]],
  "crystal_system": "tetragonal",
  "dos_at_fermi_per_ev_cell": 2.86,
  "vol_a3_per_cell": 86,
  "formation_energy_uncorrected_ev_per_fu": -1.3,
  "polymorph_energy_mev_per_atom": 0
}



Record 3
{
  "formula": "ScPRhO2",
  "functional": "PBE",
  "state": "optimized geometry",
  "lattice": [[3.834, 0.000, 0.000], [0.000, 3.834, 0.000], [0.000, 0.000, 5.909]],
  "species": ["Sc", "P", "Rh", "O", "O"],
  "frac_coords": [[0.000, 0.000, 0.000], [0.000, 0.000, 0.500], [0.500, 0.500, 0.500], [0.000, 0.500, 0.000], [0.500, 0.000, 0.000]],
  "crystal_system": "tetragonal",
  "dos_at_fermi_per_ev_cell": 4.22,
  "vol_a3_per_cell": 87,
  "formation_energy_uncorrected_ev_per_fu": -3.1,
  "polymorph_energy_mev_per_atom": 64
}



Record 4
{
  "formula": "P2RhSeO",
  "functional": "PBE",
  "state": "optimized geometry",
  "lattice": [[-2.607, -3.213, 2.417], [3.315, -3.348, -0.875], [1.764, 0.927, 3.135]],
  "species": ["P", "P", "Rh", "O", "Se"],
  "frac_coords": [[0.000, 0.500, 0.000], [0.500, 0.000, 0.000], [0.000, 0.000, 0.000], [0.000, 0.000, 0.500], [0.500, 0.500, 0.500]],
  "crystal_system": "tetragonal",
  "dos_at_fermi_per_ev_cell": 4.35,
  "vol_a3_per_cell": 85,
  "formation_energy_uncorrected_ev_per_fu": 1.4,
  "polymorph_energy_mev_per_atom": 0
}



> What is the formula in the third record?

ScPRhO2